[1]
PBEsol KTe2O, optimized geometry; theoretical density = 5.26 g/cm3; SG = R-3m, No. 166; formation energy from raw total energies = 0.204 eV/atom
1.0
-1.496 0.404 3.004
-3.041 -1.361 0.570
2.806 -8.602 4.456
Te K O
2 1 1
Cartesian
-3.113 -3.689 4.650
1.382 -5.870 3.379
0.000 0.000 0.000
-0.865 -4.779 4.015


[2]
PBEsol ScFeRu, optimized geometry; theoretical density = 7.56 g/cm3; SG = P3m1, No. 156; ΔH_f (0 K) = 245 meV/atom
1.0
-0.475 1.058 -2.610
1.657 -2.303 0.327
-5.035 -3.706 -0.585
Ru Fe Sc
1 1 1
Cartesian
-3.196 -2.588 -2.030
-4.964 -3.654 -0.577
-0.729 -2.415 -0.847


The records above give, respectively, DOS(E_F) values of 2.3; 3.6 states/eV/f.u..